# NiSnPRu2, optimized geometry, DFT GGA-PBE
data_NiSnPRu2
_chemical_formula_sum 'Ni1 Sn1 P1 Ru2'
_space_group_name_H-M_alt 'P 1'
_space_group_IT_number 1
_space_group_name_Hall 'P 1'
_cell_length_a 4.6009
_cell_length_b 3.8792
_cell_length_c 4.6009
_cell_angle_alpha 90.00
_cell_angle_beta 90.00
_cell_angle_gamma 90.00
loop_
_atom_site_label
_atom_site_type_symbol
_atom_site_fract_x
_atom_site_fract_y
_atom_site_fract_z
Ni1 Ni 0.0000 0.0000 0.0000
P1 P 0.0000 0.5000 0.0000
Ru1 Ru 0.5000 0.0000 0.0000
Sn1 Sn 0.5000 0.5000 0.5000
Ru2 Ru 0.0000 0.0000 0.5000
# Calculated volume ... 82 Å³/cell
# Space-group type ... P4/mmm, No. 123
# Final energy ... -5.915 eV per atom
# ΔH_f (0 K) ... 834 meV/atom

# LiCuIrRu, optimized geometry, DFT GGA-PBE
data_LiCuIrRu
_chemical_formula_sum 'Li1 Cu1 Ir1 Ru1'
_space_group_name_H-M_alt 'P 1'
_space_group_IT_number 1
_space_group_name_Hall 'P 1'
_cell_length_a 4.2113
_cell_length_b 4.2113
_cell_length_c 4.2113
_cell_angle_alpha 60.00
_cell_angle_beta 60.00
_cell_angle_gamma 60.00
loop_
_atom_site_label
_atom_site_type_symbol
_atom_site_fract_x
_atom_site_fract_y
_atom_site_fract_z
Li1 Li 0.7500 0.7500 0.7500
Ir1 Ir 0.5000 0.5000 0.5000
Cu1 Cu 0.0000 0.0000 0.0000
Ru1 Ru 0.2500 0.2500 0.2500
# Calculated volume ... 53 Å³/cell
# Space-group type ... F-43m, No. 216
# Final energy ... -5.938 eV per atom
# ΔH_f (0 K) ... 99 meV/atom

# Ac2MgInPd6, optimized geometry, DFT GGA-PBE
data_Ac2MgInPd6
_chemical_formula_sum 'Ac2 Mg1 In1 Pd6'
_space_group_name_H-M_alt 'P 1'
_space_group_IT_number 1
_space_group_name_Hall 'P 1'
_cell_length_a 6.9321
_cell_length_b 6.8763
_cell_length_c 6.8784
_cell_angle_alpha 48.86
_cell_angle_beta 80.04
_cell_angle_gamma 99.56
loop_
_atom_site_label
_atom_site_type_symbol
_atom_site_fract_x
_atom_site_fract_y
_atom_site_fract_z
Pd1 Pd 0.7536 0.7531 0.5057
Mg1 Mg 0.5000 0.5000 0.0000
In1 In 0.0000 0.0000 0.0000
Ac1 Ac 0.2138 0.7521 0.5373
Pd2 Pd 0.2464 0.2469 0.4943
Pd3 Pd 0.2457 0.7395 0.0016
Pd4 Pd 0.5769 0.7488 0.1712
Pd5 Pd 0.7543 0.2605 0.9984
Ac2 Ac 0.7862 0.2479 0.4627
Pd6 Pd 0.4231 0.2512 0.8288
# Calculated volume ... 225 Å³/cell
# Space-group type ... C2/m, No. 12
# Final energy ... -5.017 eV per atom
# ΔH_f (0 K) ... -647 meV/atom

# Ho2MgSe4, optimized geometry, DFT GGA-PBE
data_Ho2MgSe4
_chemical_formula_sum 'Ho8 Mg4 Se16'
_space_group_name_H-M_alt 'P 1'
_space_group_IT_number 1
_space_group_name_Hall 'P 1'
_cell_length_a 7.4450
_cell_length_b 8.6100
_cell_length_c 13.9410
_cell_angle_alpha 98.58
_cell_angle_beta 95.22
_cell_angle_gamma 90.13
loop_
_atom_site_label
_atom_site_type_symbol
_atom_site_fract_x
_atom_site_fract_y
_atom_site_fract_z
Se1 Se 0.1068 0.1556 0.1047
Mg1 Mg 0.8662 0.8036 0.7090
Ho1 Ho 0.7562 0.1272 0.9994
Se2 Se 0.8089 0.7169 0.3763
Se3 Se 0.9072 0.3550 0.8958
Se4 Se 0.8932 0.8444 0.8953
Se5 Se 0.4033 0.5954 0.8995
Ho2 Ho 0.2438 0.8728 0.0006
Se6 Se 0.6927 0.5455 0.6307
Se7 Se 0.3052 0.9769 0.3707
Ho3 Ho 0.1351 0.6982 0.3000
Se8 Se 0.3957 0.1027 0.8953
Mg2 Mg 0.2493 0.3794 0.0049
Se9 Se 0.0928 0.6450 0.1042
Se10 Se 0.8305 0.2184 0.3716
Se11 Se 0.1911 0.2831 0.6237
Se12 Se 0.3073 0.4545 0.3693
Se13 Se 0.1695 0.7816 0.6284
Ho4 Ho 0.3666 0.0446 0.6990
Ho5 Ho 0.8649 0.3018 0.7000
Mg3 Mg 0.7507 0.6206 0.9951
Mg4 Mg 0.1338 0.1964 0.2910
Ho6 Ho 0.6334 0.9554 0.3010
Se14 Se 0.6948 0.0231 0.6293
Se15 Se 0.5967 0.4046 0.1005
Se16 Se 0.6043 0.8973 0.1047
Ho7 Ho 0.6327 0.4431 0.2964
Ho8 Ho 0.3673 0.5569 0.7036
# Calculated volume ... 880 Å³/cell
# Space-group type ... P-1, No. 2
# Final energy ... -5.039 eV per atom
# Raw formation energy ... -1.51 eV per atom
# Polymorph energy (0 for the lowest one) ... 127 kJ/mol of formula units

What is the final energy in the third record?
-5.017 eV per atom

Which of these has the highest final energy?
Ac2MgInPd6

What is the final energy in the first record?
-5.915 eV per atom